[1]
Density functional theory data (PBE) for Li2GaN after structural relaxation.

The structure in extended XYZ format:
```
8
Lattice="-2.867 3.017 2.614 -3.193 0.198 -3.731 -5.677 -2.672 1.480" Properties=species:S:1:pos:R:3 pbc="T T T"
Li -4.492 0.590 -0.980
Li -8.759 0.760 1.068
Li -7.331 -0.748 -0.245
Li -2.891 0.486 0.882
Ga -5.787 0.977 1.768
Ga 0.000 0.000 0.000
N -3.030 1.608 -0.558
N -5.950 -0.433 -1.405
```

**Relative energy among the computed polymorphs**: 0.5807 eV/atom
**Density**: 2.5 g cm⁻³
**E**: -3.53 eV per atom
**Energy relative to the elements, uncorrected**: 0.27 eV/atom
**Total magnetization**: 0.00 μB per formula unit

[2]
Density functional theory data (PBE) for HfPaAu2 after structural relaxation.

The structure in extended XYZ format:
```
4
Lattice="3.164 0.000 0.000 0.000 3.164 0.000 0.000 0.000 8.325" Properties=species:S:1:pos:R:3 pbc="T T T"
Pa 1.582 1.582 4.162
Hf 1.582 1.582 0.000
Au 0.000 0.000 1.947
Au 0.000 0.000 6.378
```

**Relative energy among the computed polymorphs**: 0.0000 eV/atom
**Density**: 16.0 g cm⁻³
**E**: -6.85 eV per atom
**Energy relative to the elements**: -350 meV/atom
**Total magnetization**: 0.01 μB per formula unit